(1)
Material: LiZr
Method: DFT, PBE
State: optimized geometry

abc: 4.9413 6.5653 4.8935
angles: 90.00 90.00 90.00
Closest atoms and distances in Å follow each position.
Fractional positions:
Zr 0.9479 0.5000 0.0000  4 Zr 2.92-2.96, 4 Li 3.08
Zr 0.4429 0.7418 0.0000  5 Zr 2.92-3.18, 4 Li 2.97-3.02
Zr 0.3916 0.5000 0.5000  4 Zr 2.93, 4 Li 3.09
Zr 0.4429 0.2581 0.0000  5 Zr 2.92-3.18, 4 Li 2.97-3.02
Li 0.9496 0.0000 0.0000  4 Li 2.85, 4 Zr 2.97-3.02
Li 0.8912 0.7826 0.5000  5 Li 2.79-2.92, 4 Zr 3.08-3.09
Li 0.3760 0.0000 0.5000  4 Li 2.79-2.92, 4 Zr 2.99
Li 0.8912 0.2174 0.5000  5 Li 2.79-2.92, 4 Zr 3.08-3.09

Volume in Å³/atom: 19.84
Distance to the lowest polymorph of the same formula in meV/atom: 132
Uncorrected energy in eV/atom: -4.980
Space group: Pmm2, No. 25

=====

(2)
Material: MgCdTeO
Method: DFT, PBE
State: optimized geometry

abc: 3.9491 6.0097 7.0643
angles: 90.00 73.77 90.00
Closest atoms and distances in Å follow each position.
Fractional positions:
Mg 0.0874 0.7500 0.8252  2 O 1.91
Mg 0.9126 0.2500 0.1748  2 O 1.91
Cd 0.5910 0.2500 0.8180  4 O 2.77
Cd 0.4090 0.7500 0.1820  4 O 2.77
O 0.0000 0.5000 0.0000  2 Mg 1.91
O 0.0000 0.0000 0.0000  2 Mg 1.91
Te 0.2684 0.2500 0.4632  2 Mg 2.78
Te 0.7316 0.7500 0.5368  2 Mg 2.78

Volume in Å³/atom: 20.12
Distance to the lowest polymorph of the same formula in meV/atom: 477
Uncorrected energy in eV/atom: -3.480
Space group: Cmcm, No. 63